Entry 1:
Density functional theory data (PBE) for a geometry-optimized CaSc2Zn structure.

ΔE_f   -0.068 eV per atom
M_tot   0.000 μB per atom

```
4
Lattice="6.355 0.008 0.009 5.430 3.302 0.009 2.144 0.602 4.736" Properties=species:S:1:pos:R:3 pbc="T T T"
Sc 2.532 0.711 4.547
Sc 6.576 1.847 2.567
Ca 3.482 0.978 1.189
Zn 10.447 2.934 3.566
```


Entry 2:
Density functional theory data (PBE) for a geometry-optimized CaScZn structure.

ΔE_f   0.078 eV per atom
M_tot   0.000 μB per atom

```
6
Lattice="-1.309 4.846 -0.291 -1.412 -0.188 3.231 8.394 2.497 3.813" Properties=species:S:1:pos:R:3 pbc="T T T"
Ca 2.539 0.755 1.153
Ca 6.030 1.910 4.675
Sc 4.200 3.867 2.060
Sc -0.703 2.525 1.769
Zn 1.674 3.232 2.849
Zn 6.577 4.574 3.139
```


Entry 3:
Density functional theory data (PBE) for a geometry-optimized CaSc2Zn structure.

ΔE_f   0.129 eV per atom
M_tot   0.000 μB per atom

```
4
Lattice="-4.612 0.410 2.269 -3.718 -3.405 -1.082 -1.445 -3.454 3.546" Properties=species:S:1:pos:R:3 pbc="T T T"
Sc 0.000 0.000 0.000
Sc -7.332 -4.836 3.549
Ca -4.888 -3.224 2.366
Zn -2.444 -1.612 1.183
```


Entry 4:
Density functional theory data (PBE) for a geometry-optimized CaScZn structure.

ΔE_f   0.033 eV per atom
M_tot   0.000 μB per atom

```
9
Lattice="3.539 0.000 0.000 -1.769 3.065 0.000 0.000 0.000 21.903" Properties=species:S:1:pos:R:3 pbc="T T T"
Ca 0.000 0.000 9.306
Ca 0.000 2.043 2.005
Ca 1.769 1.022 16.607
Sc 0.000 0.000 19.571
Sc 0.000 2.043 12.270
Sc 1.769 1.022 4.969
Zn 0.000 0.000 14.253
Zn 0.000 2.043 6.952
Zn 1.769 1.022 21.554
```


Entry 5:
Density functional theory data (PBE) for a geometry-optimized CaScZn structure.

ΔE_f   0.047 eV per atom
M_tot   0.000 μB per atom

```
3
Lattice="-3.569 3.331 -0.489 -0.391 -4.359 -2.219 -1.704 -1.383 3.018" Properties=species:S:1:pos:R:3 pbc="T T T"
Sc -1.943 -2.195 -0.770
Ca -1.366 -1.109 2.419
Zn -3.108 0.282 -0.007
```


Entry 6:
Density functional theory data (PBE) for a geometry-optimized Ca3ScZn structure.

ΔE_f   0.831 eV per atom
M_tot   0.651 μB per atom

```
5
Lattice="-3.444 -3.658 3.326 2.284 -4.772 -2.884 4.385 -0.388 4.114" Properties=species:S:1:pos:R:3 pbc="T T T"
Sc 0.000 0.000 0.000
Ca 2.192 -0.194 2.057
Ca -1.722 -1.829 1.663
Ca 1.142 -2.386 -1.442
Zn 1.612 -4.409 2.278
```


Entry 7:
Density functional theory data (PBE) for a geometry-optimized CaSc2Zn structure.

ΔE_f   0.057 eV per atom
M_tot   0.188 μB per atom

```
4
Lattice="10.366 0.011 0.006 9.796 3.393 0.006 9.796 1.654 2.962" Properties=species:S:1:pos:R:3 pbc="T T T"
Ca 22.468 3.793 2.231
Zn 7.489 1.264 0.744
Sc 29.480 4.976 2.928
Sc 15.457 2.609 1.535
```


Entry 8:
Density functional theory data (PBE) for a geometry-optimized CaScZn structure.

ΔE_f   -0.130 eV per atom
M_tot   0.000 μB per atom

```
3
Lattice="-5.596 1.310 -3.343 -3.239 0.473 -5.787 -1.557 -3.100 -0.438" Properties=species:S:1:pos:R:3 pbc="T T T"
Sc -3.720 -1.649 -3.022
Zn -6.531 0.237 -6.378
Ca -1.698 -3.006 -0.607
```


Entry 9:
Density functional theory data (PBE) for a geometry-optimized Ca3ScZn structure.

ΔE_f   0.285 eV per atom
M_tot   0.282 μB per atom

```
5
Lattice="5.668 0.000 0.000 0.000 5.668 0.000 0.000 0.000 5.668" Properties=species:S:1:pos:R:3 pbc="T T T"
Ca 0.000 2.834 0.000
Ca 2.834 0.000 0.000
Ca 0.000 0.000 2.834
Sc 2.834 2.834 2.834
Zn 0.000 0.000 0.000
```


Entry 10:
Density functional theory data (PBE) for a geometry-optimized CaSc2Zn structure.

ΔE_f   0.108 eV per atom
M_tot   0.000 μB per atom

```
4
Lattice="-2.195 4.981 -1.215 0.121 0.686 -5.534 -1.915 -4.192 3.142" Properties=species:S:1:pos:R:3 pbc="T T T"
Sc -1.416 -0.336 -2.884
Sc 0.000 0.000 0.000
Ca -2.574 1.812 -0.724
Zn -1.037 2.834 -3.375
```


Entry 11:
Density functional theory data (PBE) for a geometry-optimized CaSc2Zn6 structure.

ΔE_f   -0.301 eV per atom
M_tot   0.000 μB per atom

```
9
Lattice="3.246 0.085 -0.140 -0.341 6.699 -3.800 0.338 -0.050 7.702" Properties=species:S:1:pos:R:3 pbc="T T T"
Ca 0.000 0.000 0.000
Sc -0.114 4.450 0.034
Sc 3.358 2.285 3.727
Zn 1.623 2.296 1.251
Zn 1.846 0.010 5.022
Zn 1.398 6.725 -1.261
Zn 1.736 4.422 5.119
Zn 1.846 2.263 6.344
Zn 1.620 4.439 2.509
```


Entry 12:
Density functional theory data (PBE) for a geometry-optimized Ca2ScZn structure.

ΔE_f   0.245 eV per atom
M_tot   0.000 μB per atom

```
8
Lattice="-4.487 2.931 -6.849 0.729 -7.785 -3.808 -4.575 -3.350 -3.958" Properties=species:S:1:pos:R:3 pbc="T T T"
Ca -4.095 0.176 -6.109
Ca -6.681 -7.172 -12.495
Ca -1.012 -5.492 -3.863
Ca -4.879 -3.921 -6.763
Zn 0.000 0.000 0.000
Zn -5.471 -1.423 -8.068
Sc -1.879 -2.427 -5.329
Sc -2.863 -6.781 -6.547
```


Entry 13:
Density functional theory data (PBE) for a geometry-optimized Ca2ScZn structure.

ΔE_f   0.061 eV per atom
M_tot   0.000 μB per atom

```
4
Lattice="3.905 0.000 0.000 0.000 3.901 0.000 0.000 0.000 7.369" Properties=species:S:1:pos:R:3 pbc="T T T"
Ca 0.000 0.000 7.215
Ca 0.000 0.000 3.838
Zn 1.953 1.951 5.527
Sc 1.953 1.951 1.842
```


Entry 14:
Density functional theory data (PBE) for a geometry-optimized Ca2ScZn structure.

ΔE_f   0.051 eV per atom
M_tot   0.108 μB per atom

```
4
Lattice="10.622 0.014 0.008 9.987 3.616 0.008 9.987 1.759 3.160" Properties=species:S:1:pos:R:3 pbc="T T T"
Ca 7.470 1.316 0.775
Ca 0.518 0.091 0.054
Zn 23.122 4.073 2.400
Sc 14.786 2.605 1.535
```


Entry 15:
Density functional theory data (PBE) for a geometry-optimized Ca2ScZn structure.

ΔE_f   0.031 eV per atom
M_tot   0.257 μB per atom

```
4
Lattice="3.551 -0.005 0.000 0.005 3.552 0.000 0.000 0.000 9.075" Properties=species:S:1:pos:R:3 pbc="T T T"
Sc 1.778 1.773 2.269
Ca 0.000 0.000 4.895
Ca 0.000 0.000 8.717
Zn 1.778 1.773 6.806
```


Entry 16:
Density functional theory data (PBE) for a geometry-optimized CaSc2Zn structure.

ΔE_f   -0.064 eV per atom
M_tot   0.000 μB per atom

```
4
Lattice="-1.786 1.390 -2.558 2.097 -1.467 -2.261 -5.148 -7.020 -0.220" Properties=species:S:1:pos:R:3 pbc="T T T"
Zn -1.131 -1.794 -2.465
Sc -0.346 -0.472 -0.015
Sc -2.227 -3.038 -0.095
Ca -3.705 -5.304 -2.575
```


Entry 17:
Density functional theory data (PBE) for a geometry-optimized Ca2ScZn structure.

ΔE_f   0.138 eV per atom
M_tot   0.000 μB per atom

```
4
Lattice="-4.643 1.977 -1.838 -1.887 0.467 5.007 4.669 2.266 -1.380" Properties=species:S:1:pos:R:3 pbc="T T T"
Ca 0.000 0.000 0.000
Ca -0.241 1.977 2.605
Zn -1.619 2.733 -0.817
Sc -3.265 1.222 1.584
```


Entry 18:
Density functional theory data (PBE) for a geometry-optimized CaSc2Zn structure.

ΔE_f   0.070 eV per atom
M_tot   0.000 μB per atom

```
4
Lattice="4.844 0.000 0.000 0.000 3.499 0.003 0.000 1.657 5.966" Properties=species:S:1:pos:R:3 pbc="T T T"
Sc 0.000 0.362 0.225
Sc 0.000 2.216 2.759
Zn 2.422 1.289 1.492
Ca 2.422 3.867 4.477
```


Entry 19:
Density functional theory data (PBE) for a geometry-optimized CaSc2Zn2 structure.

ΔE_f   -0.154 eV per atom
M_tot   0.000 μB per atom

```
10
Lattice="-5.166 -2.550 -5.606 6.144 -2.638 -4.461 -0.184 -3.100 1.580" Properties=species:S:1:pos:R:3 pbc="T T T"
Ca 0.000 0.000 0.000
Ca 0.489 -2.594 -5.034
Zn 1.588 -1.308 -2.381
Zn -0.609 -3.881 -7.687
Zn -2.454 -1.956 -4.124
Zn 3.433 -3.233 -5.943
Sc -0.848 -2.839 -1.828
Sc -2.344 -4.581 -5.421
Sc 1.643 -5.449 -6.659
Sc 3.138 -3.707 -3.067
```


Entry 20:
Density functional theory data (PBE) for a geometry-optimized Ca2ScZn3 structure.

ΔE_f   -0.258 eV per atom
M_tot   0.000 μB per atom

```
12
Lattice="-4.094 0.848 -2.784 -6.407 -2.062 4.261 -0.399 6.616 2.602" Properties=species:S:1:pos:R:3 pbc="T T T"
Sc -7.004 -0.812 0.990
Sc -3.496 -0.402 0.487
Zn -4.969 0.233 2.847
Zn -5.930 5.169 1.232
Zn -2.138 1.937 -0.797
Zn -5.196 3.996 4.327
Zn -2.355 5.527 0.615
Zn -5.703 1.406 -0.248
Ca -7.212 2.492 2.301
Ca -0.199 3.308 1.301
Ca -3.688 2.910 1.778
Ca 0.000 0.000 0.000
```


Entry 21:
Density functional theory data (PBE) for a geometry-optimized Ca2ScZn structure.

ΔE_f   0.125 eV per atom
M_tot   0.152 μB per atom

```
4
Lattice="-5.673 -5.229 7.230 -2.471 -6.959 7.567 -3.058 -3.833 9.368" Properties=species:S:1:pos:R:3 pbc="T T T"
Zn -8.401 -12.015 18.124
Ca -0.108 -0.155 0.234
Ca -5.493 -7.855 11.849
Sc -2.800 -4.005 6.041
```


Entry 22:
Density functional theory data (PBE) for a geometry-optimized CaSc2Zn structure.

ΔE_f   0.278 eV per atom
M_tot   0.138 μB per atom

```
8
Lattice="-3.772 1.761 -1.003 -0.966 -3.425 -2.381 -7.004 -5.698 7.191" Properties=species:S:1:pos:R:3 pbc="T T T"
Zn 0.000 0.000 0.000
Zn -6.573 -2.384 2.248
Ca -5.170 -4.978 1.559
Ca -2.369 -0.832 -1.692
Sc -7.008 -4.819 4.178
Sc -9.421 -5.807 2.378
Sc -4.315 -0.712 0.850
Sc -2.741 -3.385 0.207
```


Entry 23:
Density functional theory data (PBE) for a geometry-optimized CaSc2Zn9 structure.

ΔE_f   -0.287 eV per atom
M_tot   0.000 μB per atom

```
12
Lattice="-5.044 -0.616 -1.697 -2.398 -4.773 0.405 -5.300 0.267 7.198" Properties=species:S:1:pos:R:3 pbc="T T T"
Zn -4.413 -2.141 1.320
Zn -5.644 -4.590 1.527
Zn -7.001 -2.457 0.449
Zn -7.098 -0.533 4.378
Zn -4.979 -3.580 -0.814
Zn -5.741 -2.666 5.456
Zn -8.329 -2.982 4.585
Zn -6.371 -2.561 2.953
Zn -7.763 -1.543 6.720
Ca 0.000 0.000 0.000
Sc -8.672 -4.489 2.036
Sc -4.070 -0.633 3.870
```


Entry 24:
Density functional theory data (PBE) for a geometry-optimized CaSc3Zn4 structure.

ΔE_f   -0.305 eV per atom
M_tot   0.000 μB per atom

```
16
Lattice="4.837 0.000 0.000 0.000 6.847 0.000 0.000 0.000 9.673" Properties=species:S:1:pos:R:3 pbc="T T T"
Sc 0.000 0.000 4.837
Sc 2.420 3.424 7.255
Sc 2.420 0.000 7.255
Sc 2.417 3.424 2.418
Sc 0.000 0.000 0.000
Sc 2.417 0.000 2.418
Ca 0.000 3.424 0.000
Ca 0.000 3.424 4.837
Zn 0.002 5.263 7.255
Zn 2.419 1.584 0.000
Zn 2.419 5.263 0.000
Zn 2.419 5.263 4.837
Zn 2.419 1.584 4.837
Zn 0.002 1.585 7.255
Zn 4.835 5.263 2.418
Zn 4.835 1.585 2.418
```


Entry 25:
Density functional theory data (PBE) for a geometry-optimized CaScZn10 structure.

ΔE_f   -0.207 eV per atom
M_tot   0.000 μB per atom

```
12
Lattice="-1.819 -3.374 -1.813 3.899 -0.200 -3.540 4.724 -5.510 5.514" Properties=species:S:1:pos:R:3 pbc="T T T"
Zn 3.117 -3.635 3.638
Zn 1.040 -1.787 -2.677
Zn 2.769 -1.056 -0.813
Zn 5.854 -4.653 2.787
Zn 3.585 -5.822 2.279
Zn 1.607 -1.874 1.876
Zn 1.306 -3.164 -0.382
Zn 3.218 -3.262 -2.118
Zn 5.497 -5.920 0.543
Zn 1.452 -4.442 1.850
Ca 0.000 0.000 0.000
Sc 4.311 -2.855 0.987
```


Entry 26:
Density functional theory data (PBE) for a geometry-optimized Ca2ScZn structure.

ΔE_f   -0.005 eV per atom
M_tot   0.080 μB per atom

```
4
Lattice="6.629 -0.013 0.005 5.640 3.484 0.005 2.303 0.651 4.979" Properties=species:S:1:pos:R:3 pbc="T T T"
Zn 3.501 0.990 1.320
Sc 7.796 2.205 2.239
Ca 11.870 3.358 0.207
Ca 10.960 3.100 3.726
```


Entry 27:
Density functional theory data (PBE) for a geometry-optimized Ca2ScZn structure.

ΔE_f   0.068 eV per atom
M_tot   0.169 μB per atom

```
4
Lattice="-2.850 1.772 -3.511 1.933 -2.045 -2.602 -3.075 -5.902 -0.482" Properties=species:S:1:pos:R:3 pbc="T T T"
Sc -0.275 -4.431 -2.013
Ca -1.051 -7.562 -2.963
Ca -1.766 -1.438 -2.651
Zn -2.612 -4.666 -3.593
```